# Sr2AuSe | Alexandria | PBE-GGA | optimized geometry
# Total moment, μB per formula unit: 0.00
# Raw formation energy, eV/atom: -1.07
# VASP energy, eV per atom: -3.60
data_Sr2AuSe
_space_group_name_H-M_alt 'I -4 2 d'
_space_group_IT_number 122
_space_group_name_Hall 'I -4 2bw'
_cell_length_a 8.099
_cell_length_b 8.099
_cell_length_c 8.682
_cell_angle_alpha 90.00
_cell_angle_beta 90.00
_cell_angle_gamma 90.00
loop_
_atom_site_label
_atom_site_type_symbol
_atom_site_fract_x
_atom_site_fract_y
_atom_site_fract_z
Sr1 Sr 0.238 0.250 0.125
Au1 Au 0.000 0.000 0.500
Se1 Se 0.000 0.000 0.000



# Ce6CoIr2I3 | Alexandria | PBE-GGA | optimized geometry
# Total moment, μB per formula unit: 5.27
# Raw formation energy, eV/atom: -0.80
# VASP energy, eV per atom: -6.22
data_Ce6CoIr2I3
_space_group_name_H-M_alt 'C 1 2/m 1'
_space_group_IT_number 12
_cell_length_a 7.140
_cell_length_b 12.361
_cell_length_c 8.306
_cell_angle_alpha 90.00
_cell_angle_beta 106.65
_cell_angle_gamma 90.00
loop_
_space_group_symop_operation_xyz
'x,y,z'
'-x,-y,-z'
'-x,y,-z'
'x,-y,z'
'x+1/2,y+1/2,z'
'-x+1/2,-y+1/2,-z'
'-x+1/2,y+1/2,-z'
'x+1/2,-y+1/2,z'
loop_
_atom_site_label
_atom_site_type_symbol
_atom_site_fract_x
_atom_site_fract_y
_atom_site_fract_z
Ce1 Ce 0.223 0.162 0.183
Ce2 Ce 0.237 0.500 0.184
Co1 Co 0.000 0.000 0.000
Ir1 Ir 0.000 0.333 0.000
I1 I 0.000 0.168 0.500
I2 I 0.000 0.500 0.500



# RbAl2ZnNi | Alexandria | PBE-GGA | optimized geometry
# Total moment, μB per formula unit: 0.00
# VASP energy, eV per atom: -1.29
# ΔE_f, meV/atom: 1813.1
data_RbAl2ZnNi
_space_group_name_H-M_alt 'P 4/m m m'
_space_group_IT_number 123
_space_group_name_Hall '-P 4 2'
_cell_length_a 6.040
_cell_length_b 6.040
_cell_length_c 4.857
_cell_angle_alpha 90.00
_cell_angle_beta 90.00
_cell_angle_gamma 90.00
loop_
_atom_site_label
_atom_site_type_symbol
_atom_site_fract_x
_atom_site_fract_y
_atom_site_fract_z
Rb1 Rb 0.000 0.000 0.000
Al1 Al 0.000 0.500 0.000
Zn1 Zn 0.500 0.500 0.500
Ni1 Ni 0.000 0.000 0.500



# Y2SnI | Alexandria | PBE-GGA | optimized geometry
# Total moment, μB per formula unit: 0.00
# Raw formation energy, eV/atom: -0.25
# ΔE to the lowest computed polymorph, eV/atom: 0.495
# VASP energy, eV per atom: -4.87
data_Y2SnI
_space_group_name_H-M_alt 'I -4 2 d'
_space_group_IT_number 122
_space_group_name_Hall 'I -4 2bw'
_cell_length_a 6.749
_cell_length_b 6.749
_cell_length_c 14.699
_cell_angle_alpha 90.00
_cell_angle_beta 90.00
_cell_angle_gamma 90.00
loop_
_atom_site_label
_atom_site_type_symbol
_atom_site_fract_x
_atom_site_fract_y
_atom_site_fract_z
Y1 Y 0.224 0.250 0.125
Sn1 Sn 0.000 0.000 0.000
I1 I 0.000 0.000 0.500



# Y2MgCd | Alexandria | PBE-GGA | optimized geometry
# Total moment, μB per formula unit: 0.78
# VASP energy, eV per atom: -4.02
# ΔE_f, meV/atom: -162.8
data_Y2MgCd
_space_group_name_H-M_alt 'C 1 m 1'
_space_group_IT_number 8
_cell_length_a 12.178
_cell_length_b 3.696
_cell_length_c 5.338
_cell_angle_alpha 90.00
_cell_angle_beta 115.93
_cell_angle_gamma 90.00
loop_
_space_group_symop_operation_xyz
'x,y,z'
'x,-y,z'
'x+1/2,y+1/2,z'
'x+1/2,-y+1/2,z'
loop_
_atom_site_label
_atom_site_type_symbol
_atom_site_fract_x
_atom_site_fract_y
_atom_site_fract_z
Y1 Y 0.000 0.000 0.000
Y2 Y 0.226 0.000 0.726
Mg1 Mg 0.269 0.500 0.269
Cd1 Cd 0.475 0.000 0.475



# Ce3As2O | Alexandria | PBE-GGA | optimized geometry
# Total moment, μB per formula unit: 2.55
# Raw formation energy, eV/atom: -1.75
# VASP energy, eV per atom: -7.09
data_Ce3As2O
_space_group_name_H-M_alt 'C 1 2/c 1'
_space_group_IT_number 15
_cell_length_a 12.636
_cell_length_b 5.854
_cell_length_c 7.973
_cell_angle_alpha 90.00
_cell_angle_beta 108.33
_cell_angle_gamma 90.00
loop_
_space_group_symop_operation_xyz
'x,y,z'
'-x,-y,-z'
'-x,y,-z+1/2'
'x,-y,z+1/2'
'x+1/2,y+1/2,z'
'-x+1/2,-y+1/2,-z'
'-x+1/2,y+1/2,-z+1/2'
'x+1/2,-y+1/2,z+1/2'
loop_
_atom_site_label
_atom_site_type_symbol
_atom_site_fract_x
_atom_site_fract_y
_atom_site_fract_z
Ce1 Ce 0.000 0.042 0.250
Ce2 Ce 0.146 0.499 0.573
As1 As 0.175 0.001 0.087
O1 O 0.000 0.445 0.250